Density functional theory data (GGA-PBE) for a relaxed structure of MnZnPt2.

a = 8.7061 Å, b = 8.7061 Å, c = 8.7061 Å
α = 18.80°, β = 18.80°, γ = 18.80°
Last column: nearest neighbours and their distance in Å.
Atoms (fractional coordinates):
Mn 0.7500 0.7500 0.7500  6 Pt 2.69, 6 Mn 2.84
Pt 0.4998 0.4998 0.4998  3 Mn 2.69, 3 Zn 2.70, 6 Pt 2.84
Pt 0.0002 0.0002 0.0002  3 Mn 2.69, 3 Zn 2.70, 6 Pt 2.84
Zn 0.2500 0.2500 0.2500  6 Pt 2.70, 6 Zn 2.84

Calculated values
electronic total energy: -5.960 eV/atom
calculated density: 14.2 g/cm3
space-group type: R-3m (166)
ΔH_f (0 K): -7.582 kcal/mol of atoms